1.
## CdPPb3 (PBE-GGA)

Data for an optimized crystal structure of CdPPb3.

Computed properties:
Energy of formation from the pure elements ... 805.5 meV/atom
DFT total energy ... -13.42 eV per cell
Size of the total moment ... 0.00 μB/f.u.
Distance to the lowest polymorph of the same formula ... 0.404 eV per atom

abc: 5.564 5.564 5.564
angles: 90.00 90.00 90.00
Fractional positions:
Pb1 0.000 0.500 0.000
Pb2 0.000 0.000 0.500
Pb3 0.500 0.000 0.000
P1 0.500 0.500 0.500
Cd1 0.000 0.000 0.000

***

2.
## NaSr2BiS (PBE-GGA)

Data for an optimized crystal structure of NaSr2BiS.

Computed properties:
DFT total energy ... -18.49 eV per cell
Size of the total moment ... 0.00 μB/f.u.
Formation energy without anion corrections ... -1.1589 eV/atom

abc: 5.726 5.726 5.149
angles: 90.00 90.00 90.00
Fractional positions:
Sr1 0.000 0.500 0.000
Sr2 0.500 0.000 0.000
S1 0.000 0.000 0.000
Bi1 0.500 0.500 0.500
Na1 0.000 0.000 0.500

***

3.
## Er3TmSc (PBE-GGA)

Data for an optimized crystal structure of Er3TmSc.

Computed properties:
Energy of formation from the pure elements ... 78.0 meV/atom
DFT total energy ... -96.41 eV per cell
Size of the total moment ... 0.00 μB/f.u.
Distance to the lowest polymorph of the same formula ... 0.068 eV per atom

abc: 6.411 10.789 10.789
angles: 52.45 86.84 86.84
Fractional positions:
Er1 0.589 0.753 0.956
Er2 0.911 0.044 0.247
Er3 0.411 0.247 0.044
Er4 0.089 0.956 0.753
Er5 0.925 0.414 0.908
Er6 0.575 0.092 0.586
Er7 0.075 0.586 0.092
Er8 0.425 0.908 0.414
Er9 0.597 0.518 0.633
Er10 0.903 0.367 0.482
Er11 0.403 0.482 0.367
Er12 0.097 0.633 0.518
Tm1 0.250 0.892 0.108
Tm2 0.750 0.108 0.892
Tm3 0.250 0.245 0.755
Tm4 0.750 0.755 0.245
Sc1 0.821 0.785 0.652
Sc2 0.679 0.348 0.215
Sc3 0.179 0.215 0.348
Sc4 0.321 0.652 0.785

***

4.
## ZnPbCl3 (PBE-GGA)

Data for an optimized crystal structure of ZnPbCl3.

Computed properties:
DFT total energy ... -13.95 eV per cell
Size of the total moment ... 0.00 μB/f.u.
Formation energy without anion corrections ... -0.6859 eV/atom
Distance to the lowest polymorph of the same formula ... 0.000 eV per atom

abc: 4.948 4.948 4.948
angles: 90.00 90.00 90.00
Fractional positions:
Pb1 0.500 0.500 0.500
Zn1 0.000 0.000 0.000
Cl1 0.000 0.500 0.000
Cl2 0.000 0.000 0.500
Cl3 0.500 0.000 0.000

***

5.
## MgMo2Pt (PBE-GGA)

Data for an optimized crystal structure of MgMo2Pt.

Computed properties:
Energy of formation from the pure elements ... -35.5 meV/atom
DFT total energy ... -29.44 eV per cell
Size of the total moment ... 0.00 μB/f.u.

abc: 2.723 4.065 5.817
angles: 90.00 90.00 90.00
Fractional positions:
Mg1 0.500 0.500 0.734
Mo1 0.000 0.000 0.010
Mo2 0.500 0.500 0.241
Pt1 0.000 0.000 0.514

***

6.
## ZrTa2Ag (PBE-GGA)

Data for an optimized crystal structure of ZrTa2Ag.

Computed properties:
Energy of formation from the pure elements ... 244.4 meV/atom
DFT total energy ... -34.13 eV per cell
Size of the total moment ... 0.00 μB/f.u.
Distance to the lowest polymorph of the same formula ... 0.146 eV per atom

abc: 5.216 5.216 5.216
angles: 132.15 132.15 70.00
Fractional positions:
Ag1 0.750 0.250 0.500
Ta1 0.000 0.000 0.000
Ta2 0.250 0.750 0.500
Zr1 0.500 0.500 0.000

***

7.
## VCrW (PBE-GGA)

Data for an optimized crystal structure of VCrW.

Computed properties:
Energy of formation from the pure elements ... -64.5 meV/atom
DFT total energy ... -31.89 eV per cell
Size of the total moment ... 0.00 μB/f.u.
Distance to the lowest polymorph of the same formula ... 0.001 eV per atom

abc: 3.011 3.011 5.002
angles: 107.52 107.52 90.00
Fractional positions:
Cr1 0.281 0.281 0.562
W1 0.947 0.947 0.893
V1 0.622 0.622 0.245

***

8.
## LiSb2TePd (PBE-GGA)

Data for an optimized crystal structure of LiSb2TePd.

Computed properties:
DFT total energy ... -16.49 eV per cell
Size of the total moment ... 0.00 μB/f.u.
Formation energy without anion corrections ... 0.4003 eV/atom
Distance to the lowest polymorph of the same formula ... 0.286 eV per atom

abc: 4.880 4.880 5.058
angles: 90.00 90.00 90.00
Fractional positions:
Sb1 0.000 0.500 0.000
Sb2 0.500 0.000 0.000
Te1 0.000 0.000 0.500
Pd1 0.500 0.500 0.500
Li1 0.000 0.000 0.000

***

9.
## Hg2Bi3Pb6 (PBE-GGA)

Data for an optimized crystal structure of Hg2Bi3Pb6.

Computed properties:
Energy of formation from the pure elements ... 102.1 meV/atom
DFT total energy ... -33.37 eV per cell
Size of the total moment ... 0.00 μB/f.u.
Distance to the lowest polymorph of the same formula ... 0.056 eV per atom

abc: 4.692 4.692 16.879
angles: 97.99 97.99 90.00
Fractional positions:
Hg1 0.344 0.344 0.688
Hg2 0.656 0.656 0.312
Bi1 0.000 0.000 0.000
Bi2 0.849 0.849 0.697
Bi3 0.151 0.151 0.303
Pb1 0.073 0.573 0.145
Pb2 0.573 0.073 0.145
Pb3 0.927 0.427 0.855
Pb4 0.427 0.927 0.855
Pb5 0.750 0.750 0.501
Pb6 0.250 0.250 0.499

***

10.
## Ce2ThRe (PBE-GGA)

Data for an optimized crystal structure of Ce2ThRe.

Computed properties:
Energy of formation from the pure elements ... 105.4 meV/atom
DFT total energy ... -31.31 eV per cell
Size of the total moment ... 0.00 μB/f.u.
Distance to the lowest polymorph of the same formula ... 0.000 eV per atom

abc: 3.464 3.464 8.267
angles: 90.00 90.00 90.00
Fractional positions:
Re1 0.500 0.500 0.000
Ce1 0.000 0.000 0.791
Ce2 0.000 0.000 0.209
Th1 0.500 0.500 0.500

***

11.
## Tb2HoScTe6 (PBE-GGA)

Data for an optimized crystal structure of Tb2HoScTe6.

Computed properties:
DFT total energy ... -52.15 eV per cell
Size of the total moment ... 0.00 μB/f.u.
Formation energy without anion corrections ... -1.3131 eV/atom

abc: 7.607 7.607 8.206
angles: 62.39 62.39 60.00
Fractional positions:
Tb1 0.511 0.511 0.466
Tb2 0.010 0.010 0.970
Ho1 0.825 0.825 0.525
Sc1 0.326 0.326 0.021
Te1 0.586 0.227 0.251
Te2 0.227 0.936 0.251
Te3 0.936 0.586 0.251
Te4 0.424 0.717 0.760
Te5 0.717 0.099 0.760
Te6 0.099 0.424 0.760